Record 1
First-principles (GGA-PBE) data for an optimized crystal structure of SmErPO, as listed in OQMD via LeMat-Bulk.

Cell: 4.3325 4.3325 8.7207 Å, 90.00 90.00 90.00°
Fractional positions:
P (0.2500, 0.2500, 0.6888)
P (0.7500, 0.7500, 0.3112)
Er (0.2500, 0.7500, 0.5000)
Er (0.7500, 0.2500, 0.5000)
Sm (0.7500, 0.7500, 0.8893)
Sm (0.2500, 0.2500, 0.1107)
O (0.7500, 0.2500, 0.0000)
O (0.2500, 0.7500, 0.0000)



Record 2
First-principles (GGA-PBE) data for an optimized crystal structure of NdSmTc, as listed in OQMD via LeMat-Bulk.

Cell: 4.8399 4.8399 4.8399 Å, 60.00 60.00 60.00°
Fractional positions:
Sm (0.0000, 0.0000, 0.0000)
Tc (0.7500, 0.7500, 0.7500)
Nd (0.2500, 0.2500, 0.2500)

Properties
DFT formation energy, eV/f.u.: 2.79



Computed values of volume (unit: Å³ per cell) for the preceding records, in sequence: 164, 80.
Computed values of energy relative to the lowest polymorph listed for this composition (unit: meV/atom) for the preceding records, in sequence: 80.4, 0.0.
Computed values of final energy (unit: Ry per atom) for the preceding records, in sequence: -0.50342, -0.41760.